Material: TaNiSn3
Method: DFT, PBE
State: relaxed

Computed properties:
* space group: Pm-3m
* formation energy from the elements: 0.78 eV/atom
* E_tot: -25.739 eV/cell

Cell lengths 4.8746, 4.8746, 4.8746 Å; angles 90.00, 90.00, 90.00 degrees
Positions (direct):
Ta  0.5000  0.5000  0.5000
Sn  0.5000  0.0000  0.0000
Ni  0.0000  0.0000  0.0000
Sn  0.0000  0.5000  0.0000
Sn  0.0000  0.0000  0.5000